Record 1
A relaxed Hf4Co crystal, computed with PBE.

Properties
ΔE_f = -0.115 eV/atom
Energy above the most stable polymorph in this dataset = 0.000 eV per formula unit
DOS at the Fermi energy = 1.117 states/eV per atom
Total magnetization = 0.00 μB/cell

```
data_Hf4Co
_symmetry_space_group_name_H-M 'I 4/m'
_symmetry_Int_Tables_number 87
_symmetry_space_group_name_Hall '-I 4'
_cell_length_a 7.740
_cell_length_b 7.740
_cell_length_c 3.262
_cell_angle_alpha 90.00
_cell_angle_beta 90.00
_cell_angle_gamma 90.00
loop_
_atom_site_label
_atom_site_fract_x
_atom_site_fract_y
_atom_site_fract_z
Hf1 0.083 0.727 0.000
Co1 0.000 0.000 0.500
```

=====

Record 2
A relaxed Hf3CoHg crystal, computed with PBE.

Properties
ΔE_f = 0.134 eV/atom
Energy above the most stable polymorph in this dataset = 1.301 eV per formula unit
DOS at the Fermi energy = 1.345 states/eV per atom
Total magnetization = 0.00 μB/cell

```
data_Hf3CoHg
_symmetry_space_group_name_H-M 'P m -3 m'
_symmetry_Int_Tables_number 221
_symmetry_space_group_name_Hall '-P 4 2 3'
_cell_length_a 4.771
_cell_length_b 4.771
_cell_length_c 4.771
_cell_angle_alpha 90.00
_cell_angle_beta 90.00
_cell_angle_gamma 90.00
loop_
_atom_site_label
_atom_site_fract_x
_atom_site_fract_y
_atom_site_fract_z
Hf1 0.000 0.000 0.500
Co1 0.000 0.000 0.000
Hg1 0.500 0.500 0.500
```

=====

Record 3
A relaxed Hf4Co2Hg5 crystal, computed with PBE.

Properties
ΔE_f = -0.197 eV/atom
DOS at the Fermi energy = 0.602 states/eV per atom
Total magnetization = 0.00 μB/cell

```
data_Hf4Co2Hg5
_symmetry_space_group_name_H-M 'P 1 2/m 1'
_symmetry_Int_Tables_number 10
_symmetry_space_group_name_Hall '-P 2y'
_cell_length_a 7.400
_cell_length_b 3.269
_cell_length_c 9.037
_cell_angle_alpha 90.00
_cell_angle_beta 94.33
_cell_angle_gamma 90.00
loop_
_atom_site_label
_atom_site_fract_x
_atom_site_fract_y
_atom_site_fract_z
Hf1 0.181 0.000 0.333
Hf2 0.201 0.000 0.940
Co1 0.077 0.500 0.134
Hg1 0.157 0.500 0.637
Hg2 0.461 0.500 0.163
Hg3 0.500 0.500 0.500
```

=====

Record 4
A relaxed Hf3CoHg crystal, computed with PBE.

Properties
ΔE_f = 0.009 eV/atom
Energy above the most stable polymorph in this dataset = 0.676 eV per formula unit
DOS at the Fermi energy = 0.920 states/eV per atom
Total magnetization = 0.00 μB/cell

```
data_Hf3CoHg
_symmetry_space_group_name_H-M 'C 1 2/c 1'
_symmetry_Int_Tables_number 15
_symmetry_space_group_name_Hall '-C 2yc'
_cell_length_a 10.343
_cell_length_b 6.189
_cell_length_c 12.683
_cell_angle_alpha 90.00
_cell_angle_beta 99.93
_cell_angle_gamma 90.00
loop_
_atom_site_label
_atom_site_fract_x
_atom_site_fract_y
_atom_site_fract_z
Hf1 0.063 0.144 0.100
Hf2 0.180 0.096 0.811
Hf3 0.189 0.407 0.403
Co1 0.000 0.352 0.250
Co2 0.250 0.250 0.000
Hg1 0.064 0.343 0.614
```

=====

Record 5
A relaxed Hf6CoHg2 crystal, computed with PBE.

Properties
ΔE_f = 0.261 eV/atom
Energy above the most stable polymorph in this dataset = 3.632 eV per formula unit
DOS at the Fermi energy = 1.268 states/eV per atom
Total magnetization = 0.01 μB/cell

```
data_Hf6CoHg2
_symmetry_space_group_name_H-M 'I m m m'
_symmetry_Int_Tables_number 71
_symmetry_space_group_name_Hall '-I 2 2'
_cell_length_a 4.732
_cell_length_b 6.461
_cell_length_c 13.559
_cell_angle_alpha 90.00
_cell_angle_beta 90.00
_cell_angle_gamma 90.00
loop_
_atom_site_label
_atom_site_fract_x
_atom_site_fract_y
_atom_site_fract_z
Hf1 0.000 0.237 0.000
Hf2 0.000 0.256 0.354
Co1 0.000 0.500 0.500
Hg1 0.000 0.500 0.177
```

=====

Record 6
A relaxed Hf3CoHg crystal, computed with PBE.

Properties
ΔE_f = -0.126 eV/atom
Energy above the most stable polymorph in this dataset = 0.000 eV per formula unit
DOS at the Fermi energy = 0.887 states/eV per atom
Total magnetization = 0.00 μB/cell

```
data_Hf3CoHg
_symmetry_space_group_name_H-M 'C 1 2/m 1'
_symmetry_Int_Tables_number 12
_symmetry_space_group_name_Hall '-C 2y'
_cell_length_a 9.074
_cell_length_b 6.159
_cell_length_c 8.221
_cell_angle_alpha 90.00
_cell_angle_beta 117.17
_cell_angle_gamma 90.00
loop_
_atom_site_label
_atom_site_fract_x
_atom_site_fract_y
_atom_site_fract_z
Hf1 0.032 0.000 0.219
Hf2 0.192 0.500 0.894
Hf3 0.205 0.500 0.279
Co1 0.000 0.293 0.000
Hg1 0.000 0.277 0.500
```